First-principles (GGA-PBE) data for a relaxed CsNbAl crystal, as listed in the Open Quantum Materials Database.

## Properties
SG: No. 216
E above lowest polymorph (meV/atom): 0
Total moment (μB/f.u.): 2.87

a = 5.047 Å, b = 5.047 Å, c = 5.047 Å
α = 60.00°, β = 60.00°, γ = 60.00°
Sites, in units of the cell vectors:
Cs 0.000 0.000 0.000
Nb 0.750 0.750 0.750
Al 0.500 0.500 0.500

First-principles (GGA-PBE) data for a relaxed AcAlPt crystal, as listed in the Open Quantum Materials Database.

## Properties
SG: No. 216
E above lowest polymorph (meV/atom): 1093
Total moment (μB/f.u.): 0.00

a = 5.045 Å, b = 5.045 Å, c = 5.045 Å
α = 60.00°, β = 60.00°, γ = 60.00°
Sites, in units of the cell vectors:
Ac 0.000 0.000 0.000
Al 0.750 0.750 0.750
Pt 0.250 0.250 0.250

First-principles (GGA-PBE) data for a relaxed BaTePtO crystal, as listed in the Open Quantum Materials Database.

## Properties
SG: No. 129
E above lowest polymorph (meV/atom): 95
Total moment (μB/f.u.): 0.00

a = 4.548 Å, b = 4.548 Å, c = 9.341 Å
α = 90.00°, β = 90.00°, γ = 90.00°
Sites, in units of the cell vectors:
Ba 0.250 0.250 0.151
Ba 0.750 0.750 0.849
Te 0.250 0.750 0.500
Te 0.750 0.250 0.500
Pt 0.250 0.250 0.660
Pt 0.750 0.750 0.340
O 0.250 0.250 0.889
O 0.750 0.750 0.111

First-principles (GGA-PBE) data for a relaxed LiGeTeAuS2 crystal, as listed in the Open Quantum Materials Database.

## Properties
Calculated total energy (eV/atom): -3.818
SG: No. 63

a = 7.319 Å, b = 7.319 Å, c = 10.797 Å
α = 90.00°, β = 90.00°, γ = 152.68°
Sites, in units of the cell vectors:
Li 0.225 0.775 0.750
Li 0.775 0.225 0.250
Ge 0.500 0.500 0.000
Ge 0.500 0.500 0.500
Te 0.433 0.567 0.250
Te 0.567 0.433 0.750
Au 0.130 0.870 0.250
Au 0.870 0.130 0.750
S 0.124 0.876 0.034
S 0.124 0.876 0.466
S 0.876 0.124 0.534
S 0.876 0.124 0.966

First-principles (GGA-PBE) data for a relaxed HfCo2Ir crystal, as listed in the Open Quantum Materials Database.

## Properties
ΔH_f (0 K) (meV per atom): -215
SG: No. 216
Total moment (μB/f.u.): 2.99

a = 4.334 Å, b = 4.334 Å, c = 4.334 Å
α = 60.00°, β = 60.00°, γ = 60.00°
Sites, in units of the cell vectors:
Hf 0.000 0.000 0.000
Co 0.500 0.500 0.500
Co 0.750 0.750 0.750
Ir 0.250 0.250 0.250

First-principles (GGA-PBE) data for a relaxed SrAlZn2Au crystal, as listed in the Open Quantum Materials Database.

## Properties
Calculated total energy (eV/atom): -2.638
SG: No. 107

a = 6.317 Å, b = 6.317 Å, c = 6.317 Å
α = 139.03°, β = 139.03°, γ = 59.34°
Sites, in units of the cell vectors:
Sr 0.000 0.000 0.000
Al 0.375 0.375 0.000
Zn 0.250 0.750 0.500
Zn 0.750 0.250 0.500
Au 0.608 0.608 0.000